Here is a relaxed structure of Ti2MnTcF from Alexandria. Energies are from PBE+U.

Lattice parameters (Å, degrees): 4.868 4.868 3.577 90.00 90.00 90.00
Fractional coordinates of all 5 atoms:
1 Ti 0.000 0.500 0.000
2 Ti 0.500 0.000 0.000
3 Mn 0.000 0.000 0.000
4 Tc 0.500 0.500 0.500
5 F 0.000 0.000 0.500

Values from the calculation:
The total energy is -6.557 eV/atom. As for the spin magnetization: 1.53 μB/f.u.